{
  "formula": "TbCdMoO6",
  "functional": "GGA+U",
  "state": "optimized geometry",
  "cell": [[4.664, 0.000, 0.000], [0.000, 5.608, 0.000], [0.000, -2.804, 4.856]],
  "species": ["O", "O", "O", "O", "O", "O", "Tb", "Mo", "Cd"],
  "frac_coords": [[0.729, 0.290, 0.999], [0.729, 0.709, 0.710], [0.729, 0.001, 0.291], [0.271, 0.290, 0.291], [0.271, 0.709, 0.999], [0.271, 0.001, 0.710], [0.500, 0.667, 0.333], [0.500, 0.000, 0.000], [0.000, 0.333, 0.667]],
  "final_energy_ev_per_atom": -6.48,
  "magnetic_moment_mub_per_atom": 0.12,
  "mass_density_g_cm3": 6.1,
  "spacegroup": "No. 149"
}